No. 1
Entry from Alexandria: a relaxed KZrRe2 crystal (PBE). Values from VASP.

Summary:
The density of states at the Fermi level comes out at 4.988 states/eV/cell. The value obtained for the volume is 19.9 A^3/atom. The value obtained for the energy of formation is 1.667 eV/atom. The symmetry is P4/mmm (123).

```
&SYSTEM
  ibrav = 0, nat = 4, ntyp = 3
/
ATOMIC_SPECIES
K 39.10 K.upf
Re 186.21 Re.upf
Zr 91.22 Zr.upf
CELL_PARAMETERS angstrom
-2.601 1.429 -3.799
3.595 -1.285 -2.944
-1.341 -3.144 -0.264
ATOMIC_POSITIONS angstrom
K 1.127 -2.215 -1.604
Re 0.000 0.000 0.000
Re 0.497 0.072 -3.372
Zr -1.971 -0.858 -2.032
```

---

No. 2
Entry from Alexandria: a relaxed KZrRe2 crystal (PBE). Values from VASP.

Summary:
The density of states at the Fermi level comes out at 3.872 states/eV/cell. The value obtained for the volume is 26.4 A^3/atom. The value obtained for the energy of formation is 0.761 eV/atom. The symmetry is Cm (8).

```
&SYSTEM
  ibrav = 0, nat = 4, ntyp = 3
/
ATOMIC_SPECIES
K 39.10 K.upf
Re 186.21 Re.upf
Zr 91.22 Zr.upf
CELL_PARAMETERS angstrom
-1.163 2.002 -3.596
-1.428 -1.012 -3.903
-8.378 0.500 2.321
ATOMIC_POSITIONS angstrom
K -2.401 0.357 -1.433
Re -7.594 0.470 1.935
Re -8.560 1.136 -3.782
Zr -6.274 0.771 -2.166
```

---

No. 3
Entry from Alexandria: a relaxed KRh5 crystal (PBE). Values from VASP.

Summary:
The density of states at the Fermi level comes out at 9.674 states/eV/cell. The value obtained for the volume is 17.9 A^3/atom. The value obtained for the energy of formation is 0.354 eV/atom. The symmetry is Cm (8).

```
&SYSTEM
  ibrav = 0, nat = 6, ntyp = 2
/
ATOMIC_SPECIES
K 39.10 K.upf
Rh 102.91 Rh.upf
CELL_PARAMETERS angstrom
1.358 6.122 0.022
-1.358 6.122 0.022
0.000 1.033 6.472
ATOMIC_POSITIONS angstrom
K 0.000 11.730 0.432
Rh 0.000 4.516 3.726
Rh 0.000 8.816 2.123
Rh 0.000 8.534 4.645
Rh 0.000 0.585 3.299
Rh 0.000 3.780 6.394
```